Entry 1:
This record from the Alexandria database describes a relaxed Li2Mg4Cu crystal. The functional is PBE.

abc: 4.820 4.820 8.053
angles: 72.59 72.59 90.00
Positions (direct):
1 Mg 0.500 0.000 0.000
2 Mg 0.000 0.500 0.000
3 Mg 0.824 0.824 0.352
4 Mg 0.176 0.176 0.648
5 Li 0.377 0.377 0.246
6 Li 0.623 0.623 0.754
7 Cu 0.000 0.000 0.000

Properties
- E above lowest polymorph (meV/atom) = 163
- mass density (g/cm3) = 1.711
- E_form (eV/f.u.) = 1.18
- V (Å³/cell) = 169.5
- DOS at the Fermi energy (states/eV per cell) = 3.3

Entry 2:
This record from the Alexandria database describes a relaxed LiMgCu crystal. The functional is PBE.

abc: 5.151 5.151 3.207
angles: 71.86 71.86 36.28
Positions (direct):
1 Li 0.352 0.352 0.648
2 Mg 0.657 0.657 0.343
3 Cu 0.992 0.992 0.008

Properties
- E above lowest polymorph (meV/atom) = 3
- mass density (g/cm3) = 3.309
- E_form (eV/f.u.) = -0.18
- V (Å³/cell) = 47.6
- DOS at the Fermi energy (states/eV per cell) = 0.5

Entry 3:
This record from the Alexandria database describes a relaxed LiMg4Cu crystal. The functional is PBE.

abc: 4.479 4.481 6.825
angles: 90.02 89.99 90.00
Positions (direct):
1 Mg 0.501 0.997 0.723
2 Mg 0.001 0.497 0.723
3 Mg 0.001 0.497 0.274
4 Mg 0.501 0.997 0.273
5 Cu 0.001 0.997 0.499
6 Li 0.501 0.497 0.998

Properties
- E above lowest polymorph (meV/atom) = 0
- mass density (g/cm3) = 2.033
- E_form (eV/f.u.) = 0.83
- V (Å³/cell) = 137.0
- DOS at the Fermi energy (states/eV per cell) = 2.0

Entry 4:
This record from the Alexandria database describes a relaxed LiMg2Cu2 crystal. The functional is PBE.

abc: 4.157 4.157 6.315
angles: 70.78 70.78 90.00
Positions (direct):
1 Li 0.000 0.000 0.000
2 Mg 0.250 0.750 0.500
3 Mg 0.750 0.250 0.500
4 Cu 0.604 0.604 0.793
5 Cu 0.396 0.396 0.207

Properties
- E above lowest polymorph (meV/atom) = 186
- mass density (g/cm3) = 3.140
- E_form (eV/f.u.) = 0.63
- V (Å³/cell) = 96.6
- DOS at the Fermi energy (states/eV per cell) = 1.9

Repeat the second record exactly.
This record from the Alexandria database describes a relaxed LiMgCu crystal. The functional is PBE.

abc: 5.151 5.151 3.207
angles: 71.86 71.86 36.28
Positions (direct):
1 Li 0.352 0.352 0.648
2 Mg 0.657 0.657 0.343
3 Cu 0.992 0.992 0.008

Properties
- E above lowest polymorph (meV/atom) = 3
- mass density (g/cm3) = 3.309
- E_form (eV/f.u.) = -0.18
- V (Å³/cell) = 47.6
- DOS at the Fermi energy (states/eV per cell) = 0.5